## i
Cs4Au2Br: relaxed, PBE.

Total magnetic moment in μB/atom: 0.00

Cell and atoms, written as CIF:
```
data_Cs4Au2Br
_cell_length_a 9.9550
_cell_length_b 9.9550
_cell_length_c 9.9550
_cell_angle_alpha 138.74
_cell_angle_beta 138.74
_cell_angle_gamma 59.77
_symmetry_space_group_name_H-M 'P 1'
_symmetry_Int_Tables_number 1
_symmetry_space_group_name_Hall 'P 1'
loop_
_atom_site_label
_atom_site_type_symbol
_atom_site_fract_x
_atom_site_fract_y
_atom_site_fract_z
Cs1 Cs 0.0000 0.5000 0.5000
Cs2 Cs 0.2085 0.2085 0.0000
Cs3 Cs 0.5000 0.0000 0.5000
Cs4 Cs 0.7915 0.7915 0.0000
Au1 Au 0.4163 0.4163 0.0000
Au2 Au 0.5837 0.5837 0.0000
Br1 Br 0.0000 0.0000 0.0000
```

## ii
Cs4Au2Br: relaxed, PBE.

Total magnetic moment in μB/atom: 0.00

Cell and atoms, written as CIF:
```
data_Cs4Au2Br
_cell_length_a 17.6911
_cell_length_b 17.6911
_cell_length_c 17.6911
_cell_angle_alpha 16.99
_cell_angle_beta 16.99
_cell_angle_gamma 16.99
_symmetry_space_group_name_H-M 'P 1'
_symmetry_Int_Tables_number 1
_symmetry_space_group_name_Hall 'P 1'
loop_
_atom_site_label
_atom_site_type_symbol
_atom_site_fract_x
_atom_site_fract_y
_atom_site_fract_z
Cs1 Cs 0.1212 0.1212 0.1212
Cs2 Cs 0.2929 0.2929 0.2929
Cs3 Cs 0.7071 0.7071 0.7071
Cs4 Cs 0.8788 0.8788 0.8788
Au1 Au 0.4160 0.4160 0.4160
Au2 Au 0.5840 0.5840 0.5840
Br1 Br 0.0000 0.0000 0.0000
```

Which is the most stable structure? ii is the most stable.

## i
Cs3AuBr: relaxed, PBE.

Total magnetic moment in μB/atom: 0.00

Cell and atoms, written as CIF:
```
data_Cs3AuBr
_cell_length_a 6.8925
_cell_length_b 6.8925
_cell_length_c 6.8925
_cell_angle_alpha 90.00
_cell_angle_beta 90.00
_cell_angle_gamma 90.00
_symmetry_space_group_name_H-M 'P 1'
_symmetry_Int_Tables_number 1
_symmetry_space_group_name_Hall 'P 1'
loop_
_atom_site_label
_atom_site_type_symbol
_atom_site_fract_x
_atom_site_fract_y
_atom_site_fract_z
Cs1 Cs 0.0000 0.0000 0.5000
Cs2 Cs 0.0000 0.5000 0.0000
Cs3 Cs 0.5000 0.0000 0.0000
Au1 Au 0.5000 0.5000 0.5000
Br1 Br 0.0000 0.0000 0.0000
```

## ii
Cs3AuBr: relaxed, PBE.

Total magnetic moment in μB/atom: 0.00

Cell and atoms, written as CIF:
```
data_Cs3AuBr
_cell_length_a 5.2187
_cell_length_b 14.1097
_cell_length_c 14.1097
_cell_angle_alpha 143.15
_cell_angle_beta 90.00
_cell_angle_gamma 90.00
_symmetry_space_group_name_H-M 'P 1'
_symmetry_Int_Tables_number 1
_symmetry_space_group_name_Hall 'P 1'
loop_
_atom_site_label
_atom_site_type_symbol
_atom_site_fract_x
_atom_site_fract_y
_atom_site_fract_z
Cs1 Cs 0.2500 0.0883 0.9117
Cs2 Cs 0.2500 0.4155 0.5946
Cs3 Cs 0.2500 0.5815 0.0824
Cs4 Cs 0.7500 0.0824 0.5815
Cs5 Cs 0.7500 0.5946 0.4155
Cs6 Cs 0.7500 0.9117 0.0883
Au1 Au 0.2500 0.0015 0.3325
Au2 Au 0.7500 0.3325 0.0015
Br1 Br 0.2500 0.8344 0.4998
Br2 Br 0.7500 0.4998 0.8344
```

Which is the most stable structure? ii is the most stable.

## i
CsHg2AuBr: relaxed, PBE.

Total magnetic moment in μB/atom: 0.00

Cell and atoms, written as CIF:
```
data_CsHg2AuBr
_cell_length_a 5.3720
_cell_length_b 5.3720
_cell_length_c 7.2538
_cell_angle_alpha 90.00
_cell_angle_beta 90.00
_cell_angle_gamma 90.00
_symmetry_space_group_name_H-M 'P 1'
_symmetry_Int_Tables_number 1
_symmetry_space_group_name_Hall 'P 1'
loop_
_atom_site_label
_atom_site_type_symbol
_atom_site_fract_x
_atom_site_fract_y
_atom_site_fract_z
Cs1 Cs 0.0000 0.0000 0.0000
Hg1 Hg 0.0000 0.5000 0.5000
Hg2 Hg 0.5000 0.0000 0.5000
Au1 Au 0.5000 0.5000 0.5000
Br1 Br 0.5000 0.5000 0.0000
```

## ii
CsHg2AuBr: relaxed, PBE.

Total magnetic moment in μB/atom: 0.00

Cell and atoms, written as CIF:
```
data_CsHg2AuBr
_cell_length_a 5.3985
_cell_length_b 5.3985
_cell_length_c 7.2057
_cell_angle_alpha 90.00
_cell_angle_beta 90.00
_cell_angle_gamma 90.00
_symmetry_space_group_name_H-M 'P 1'
_symmetry_Int_Tables_number 1
_symmetry_space_group_name_Hall 'P 1'
loop_
_atom_site_label
_atom_site_type_symbol
_atom_site_fract_x
_atom_site_fract_y
_atom_site_fract_z
Cs1 Cs 0.0000 0.0000 0.0000
Hg1 Hg 0.0000 0.5000 0.5000
Hg2 Hg 0.5000 0.0000 0.5000
Au1 Au 0.0000 0.0000 0.5000
Br1 Br 0.5000 0.5000 0.0000
```

Which is the most stable structure? ii is the most stable.

## i
Cs2PAuBr: relaxed, PBE.

Total magnetic moment in μB/atom: 0.39

Cell and atoms, written as CIF:
```
data_Cs2PAuBr
_cell_length_a 6.8510
_cell_length_b 6.8510
_cell_length_c 5.2930
_cell_angle_alpha 90.00
_cell_angle_beta 90.00
_cell_angle_gamma 90.00
_symmetry_space_group_name_H-M 'P 1'
_symmetry_Int_Tables_number 1
_symmetry_space_group_name_Hall 'P 1'
loop_
_atom_site_label
_atom_site_type_symbol
_atom_site_fract_x
_atom_site_fract_y
_atom_site_fract_z
Cs1 Cs 0.0000 0.5000 0.0000
Cs2 Cs 0.5000 0.0000 0.0000
P1 P 0.0000 0.0000 0.5000
Au1 Au 0.5000 0.5000 0.0000
Br1 Br 0.5000 0.5000 0.5000
```

## ii
Cs2PAuBr: relaxed, PBE.

Total magnetic moment in μB/atom: 0.00

Cell and atoms, written as CIF:
```
data_Cs2PAuBr
_cell_length_a 6.9800
_cell_length_b 6.9800
_cell_length_c 4.4969
_cell_angle_alpha 90.00
_cell_angle_beta 90.00
_cell_angle_gamma 90.00
_symmetry_space_group_name_H-M 'P 1'
_symmetry_Int_Tables_number 1
_symmetry_space_group_name_Hall 'P 1'
loop_
_atom_site_label
_atom_site_type_symbol
_atom_site_fract_x
_atom_site_fract_y
_atom_site_fract_z
Cs1 Cs 0.0000 0.5000 0.0000
Cs2 Cs 0.5000 0.0000 0.0000
P1 P 0.0000 0.0000 0.0000
Au1 Au 0.0000 0.0000 0.5000
Br1 Br 0.5000 0.5000 0.5000
```

Which is the most stable structure? ii is the most stable.

## i
Cu2Au2Br7: relaxed, PBE.

Total magnetic moment in μB/atom: 0.08

Cell and atoms, written as CIF:
```
data_Cu2Au2Br7
_cell_length_a 7.4553
_cell_length_b 7.4553
_cell_length_c 15.4673
_cell_angle_alpha 103.52
_cell_angle_beta 103.52
_cell_angle_gamma 73.03
_symmetry_space_group_name_H-M 'P 1'
_symmetry_Int_Tables_number 1
_symmetry_space_group_name_Hall 'P 1'
loop_
_atom_site_label
_atom_site_type_symbol
_atom_site_fract_x
_atom_site_fract_y
_atom_site_fract_z
Cu1 Cu 0.1469 0.2936 0.4856
Cu2 Cu 0.2936 0.1469 0.9856
Cu3 Cu 0.7064 0.8531 0.0144
Cu4 Cu 0.8531 0.7064 0.5144
Au1 Au 0.1917 0.5958 0.1903
Au2 Au 0.4042 0.8083 0.3097
Au3 Au 0.5958 0.1917 0.6903
Au4 Au 0.8083 0.4042 0.8097
Br1 Br 0.0715 0.3162 0.0846
Br2 Br 0.1280 0.1835 0.8308
Br3 Br 0.1661 0.6008 0.4725
Br4 Br 0.1835 0.1280 0.3308
Br5 Br 0.3162 0.0715 0.5846
Br6 Br 0.3992 0.8339 0.0275
Br7 Br 0.4643 0.5357 0.7500
Br8 Br 0.5357 0.4643 0.2500
Br9 Br 0.6008 0.1661 0.9725
Br10 Br 0.6838 0.9285 0.4154
Br11 Br 0.8165 0.8720 0.6692
Br12 Br 0.8339 0.3992 0.5275
Br13 Br 0.8720 0.8165 0.1692
Br14 Br 0.9285 0.6838 0.9154
```

## ii
Cu2Au2Br7: relaxed, PBE.

Total magnetic moment in μB/atom: 0.00

Cell and atoms, written as CIF:
```
data_Cu2Au2Br7
_cell_length_a 7.3471
_cell_length_b 7.3471
_cell_length_c 7.5472
_cell_angle_alpha 91.12
_cell_angle_beta 91.12
_cell_angle_gamma 116.83
_symmetry_space_group_name_H-M 'P 1'
_symmetry_Int_Tables_number 1
_symmetry_space_group_name_Hall 'P 1'
loop_
_atom_site_label
_atom_site_type_symbol
_atom_site_fract_x
_atom_site_fract_y
_atom_site_fract_z
Cu1 Cu 0.1978 0.1978 0.3866
Cu2 Cu 0.8022 0.8022 0.6134
Au1 Au 0.1685 0.8315 0.0000
Au2 Au 0.8315 0.1685 0.0000
Br1 Br 0.0991 0.4235 0.1986
Br2 Br 0.1132 0.1132 0.6978
Br3 Br 0.4235 0.0991 0.1986
Br4 Br 0.5000 0.5000 0.5000
Br5 Br 0.5765 0.9009 0.8014
Br6 Br 0.8868 0.8868 0.3022
Br7 Br 0.9009 0.5765 0.8014
```

Which is the most stable structure? i is the most stable.

## i
CuAuBr2: relaxed, PBE.

Total magnetic moment in μB/atom: 0.00

Cell and atoms, written as CIF:
```
data_CuAuBr2
_cell_length_a 3.4413
_cell_length_b 3.4413
_cell_length_c 7.1428
_cell_angle_alpha 90.00
_cell_angle_beta 90.00
_cell_angle_gamma 90.00
_symmetry_space_group_name_H-M 'P 1'
_symmetry_Int_Tables_number 1
_symmetry_space_group_name_Hall 'P 1'
loop_
_atom_site_label
_atom_site_type_symbol
_atom_site_fract_x
_atom_site_fract_y
_atom_site_fract_z
Cu1 Cu 0.0000 0.0000 0.0000
Au1 Au 0.0000 0.0000 0.5000
Br1 Br 0.5000 0.5000 0.2321
Br2 Br 0.5000 0.5000 0.7679
```

## ii
CuAuBr2: relaxed, PBE.

Total magnetic moment in μB/atom: 0.00

Cell and atoms, written as CIF:
```
data_CuAuBr2
_cell_length_a 5.3190
_cell_length_b 5.3190
_cell_length_c 4.8897
_cell_angle_alpha 115.57
_cell_angle_beta 115.57
_cell_angle_gamma 89.78
_symmetry_space_group_name_H-M 'P 1'
_symmetry_Int_Tables_number 1
_symmetry_space_group_name_Hall 'P 1'
loop_
_atom_site_label
_atom_site_type_symbol
_atom_site_fract_x
_atom_site_fract_y
_atom_site_fract_z
Cu1 Cu 0.0000 0.0000 0.0000
Au1 Au 0.5000 0.5000 0.0000
Br1 Br 0.0000 0.5000 0.0000
Br2 Br 0.5000 0.0000 0.0000
```

Which is the most stable structure? ii is the most stable.